# 1
La3Co after structural relaxation, computed with PBE.

Cell lengths 3.912, 3.912, 9.879 Å; angles 101.42, 101.42, 60.00 degrees
Atoms (fractional coordinates):
Co: 0.000 0.000 0.000
La: 0.278 0.278 0.835
La: 0.500 0.500 0.500
La: 0.722 0.722 0.165

Properties
For the magnetic moment, the calculation gives 0.00 μB per formula unit. Its formation energy is -0.0215 eV/atom.



# 2
LaCo3 after structural relaxation, computed with PBE.

Cell lengths 7.242, 6.552, 5.550 Å; angles 90.00, 90.00, 90.00 degrees
Atoms (fractional coordinates):
Co: 0.865 0.250 0.841
Co: 0.352 0.935 0.414
Co: 0.352 0.565 0.414
Co: 0.148 0.435 0.914
Co: 0.148 0.065 0.914
Co: 0.635 0.750 0.341
Co: 0.365 0.250 0.659
Co: 0.852 0.935 0.086
Co: 0.852 0.565 0.086
Co: 0.648 0.435 0.586
Co: 0.648 0.065 0.586
Co: 0.135 0.750 0.159
La: 0.969 0.750 0.624
La: 0.531 0.250 0.124
La: 0.469 0.750 0.876
La: 0.031 0.250 0.376

Properties
For the magnetic moment, the calculation gives 3.69 μB per formula unit. Its formation energy is 0.0207 eV/atom.



# 3
LaCo3 after structural relaxation, computed with PBE.

Cell lengths 3.519, 3.519, 6.641 Å; angles 90.00, 90.00, 120.00 degrees
Atoms (fractional coordinates):
Co: 0.000 0.000 0.072
Co: 0.000 0.000 0.428
Co: 0.333 0.667 0.250
La: 0.333 0.667 0.750

Properties
For the magnetic moment, the calculation gives 4.03 μB per formula unit. Its formation energy is 0.5084 eV/atom.



# 4
La3Co after structural relaxation, computed with PBE.

Cell lengths 6.442, 6.442, 6.442 Å; angles 146.43, 125.34, 65.69 degrees
Atoms (fractional coordinates):
Co: 0.500 0.000 0.500
La: 0.320 0.320 0.000
La: 0.680 0.680 0.000
La: 0.000 0.500 0.500

Properties
For the magnetic moment, the calculation gives 0.00 μB per formula unit. Its formation energy is -0.0118 eV/atom.



# 5
La3Co5 after structural relaxation, computed with PBE.

Cell lengths 5.611, 5.611, 4.892 Å; angles 90.00, 90.00, 104.96 degrees
Atoms (fractional coordinates):
La: 0.500 0.500 0.000
La: 0.796 0.204 0.500
La: 0.204 0.796 0.500
Co: 0.000 0.000 0.000
Co: 0.500 0.000 0.000
Co: 0.000 0.500 0.000
Co: 0.700 0.700 0.500
Co: 0.300 0.300 0.500

Properties
For the magnetic moment, the calculation gives 4.10 μB per formula unit. Its formation energy is 0.2593 eV/atom. As for the distance to the lowest polymorph of the same formula: 139.1 meV per atom.



# 6
La2Co after structural relaxation, computed with PBE.

Cell lengths 4.067, 4.067, 6.548 Å; angles 90.00, 90.00, 120.00 degrees
Atoms (fractional coordinates):
Co: 0.000 0.000 0.000
La: 0.333 0.667 0.775
La: 0.667 0.333 0.225

Properties
For the magnetic moment, the calculation gives 0.00 μB per formula unit. Its formation energy is -0.0970 eV/atom.



# 7
LaCo3 after structural relaxation, computed with PBE.

Cell lengths 5.081, 5.081, 5.081 Å; angles 90.00, 90.00, 90.00 degrees
Atoms (fractional coordinates):
La: 0.000 0.000 0.000
La: 0.500 0.500 0.500
Co: 0.000 0.250 0.500
Co: 0.000 0.750 0.500
Co: 0.250 0.500 0.000
Co: 0.500 0.000 0.250
Co: 0.500 0.000 0.750
Co: 0.750 0.500 0.000

Properties
For the magnetic moment, the calculation gives 3.92 μB per formula unit. Its formation energy is 0.5123 eV/atom.



# 8
La3Co2 after structural relaxation, computed with PBE.

Cell lengths 10.079, 10.079, 10.079 Å; angles 23.10, 23.10, 23.10 degrees
Atoms (fractional coordinates):
Co: 0.392 0.392 0.392
Co: 0.608 0.608 0.608
La: 0.000 0.000 0.000
La: 0.227 0.227 0.227
La: 0.773 0.773 0.773

Properties
For the magnetic moment, the calculation gives 0.00 μB per formula unit. Its formation energy is -0.0396 eV/atom. As for the distance to the lowest polymorph of the same formula: 46.8 meV per atom.



# 9
La2Co after structural relaxation, computed with PBE.

Cell lengths 6.621, 6.618, 4.150 Å; angles 90.00, 90.00, 90.00 degrees
Atoms (fractional coordinates):
Co: 0.000 0.000 0.000
Co: 0.500 0.500 0.500
La: 0.309 0.308 0.000
La: 0.191 0.808 0.500
La: 0.809 0.192 0.500
La: 0.691 0.692 0.000

Properties
For the magnetic moment, the calculation gives 0.00 μB per formula unit. Its formation energy is -0.1105 eV/atom.



# 10
La2Co after structural relaxation, computed with PBE.

Cell lengths 5.046, 5.046, 3.189 Å; angles 90.00, 90.00, 120.00 degrees
Atoms (fractional coordinates):
Co: 0.000 0.000 0.000
La: 0.333 0.667 0.500
La: 0.667 0.333 0.500

Properties
For the magnetic moment, the calculation gives 0.71 μB per formula unit. Its formation energy is 0.4333 eV/atom.



# 11
La3Co after structural relaxation, computed with PBE.

Cell lengths 6.361, 6.830, 6.830 Å; angles 120.00, 90.00, 90.00 degrees
Atoms (fractional coordinates):
La: 0.750 0.668 0.000
La: 0.250 0.332 0.000
La: 0.750 0.332 0.332
La: 0.250 0.000 0.332
La: 0.250 0.668 0.668
La: 0.750 0.000 0.668
Co: 0.000 0.000 0.000
Co: 0.500 0.000 0.000

Properties
For the magnetic moment, the calculation gives 0.00 μB per formula unit. Its formation energy is -0.0823 eV/atom.



# 12
La3Co after structural relaxation, computed with PBE.

Cell lengths 5.478, 5.478, 3.713 Å; angles 90.00, 90.00, 90.08 degrees
Atoms (fractional coordinates):
Co: 0.000 0.000 0.000
La: 0.000 0.500 0.500
La: 0.500 0.000 0.500
La: 0.500 0.500 0.000

Properties
For the magnetic moment, the calculation gives 0.70 μB per formula unit. Its formation energy is 0.3216 eV/atom.



Which value of magnetic moment does entry 8 give? 0.00 μB per formula unit